Ac4Te8Pd3: optimized geometry, PBE-GGA.

Its uncorrected formation energy is -1156 meV per atom. The value obtained for the total energy is -4.966 eV per atom.

It has space group P-4m2 (No. 115), with a = 4.6938 Å, b = 4.6938 Å, c = 20.0027 Å, α = 90.00°, β = 90.00° and γ = 90.00°. The distinct sites, in fractional coordinates, are Ac at (0.0000, 0.5000, 0.1155), Ac at (0.0000, 0.5000, 0.6223), Te at (0.0000, 0.0000, 0.2466), Te at (0.0000, 0.5000, 0.4207), Te at (0.0000, 0.5000, 0.9271), Te at (0.5000, 0.5000, 0.2465), Pd at (0.0000, 0.0000, 0.0000), Pd at (0.0000, 0.0000, 0.5000) and Pd at (0.5000, 0.5000, 0.5000).

---

TcTe4Se: optimized geometry, PBE-GGA.

Its uncorrected formation energy is 1044 meV per atom. The value obtained for the total energy is -3.359 eV per atom.

It has space group F-43m (No. 216), with a = 8.8057 Å, b = 8.8057 Å, c = 8.8057 Å, α = 90.00°, β = 90.00° and γ = 90.00°. The distinct sites, in fractional coordinates, are Tc at (0.0000, 0.0000, 0.0000), Te at (0.1247, 0.1247, 0.6247) and Se at (0.2500, 0.2500, 0.2500).

---

ScTi2Ga2: optimized geometry, PBE-GGA.

The value obtained for the total energy is -5.930 eV per atom.

It has space group P4/mbm (No. 127), with a = 7.8602 Å, b = 7.8602 Å, c = 2.8716 Å, α = 90.00°, β = 90.00° and γ = 90.00°. The distinct sites, in fractional coordinates, are Sc at (0.0000, 0.0000, 0.0000), Ti at (0.1177, 0.3823, 0.0000) and Ga at (0.1782, 0.6782, 0.5000).

---

LiCu3N: optimized geometry, PBE-GGA.

Its uncorrected formation energy is 148 meV per atom. The value obtained for the total energy is -4.357 eV per atom.

It has space group Pm-3m (No. 221), with a = 3.8914 Å, b = 3.8914 Å, c = 3.8914 Å, α = 90.00°, β = 90.00° and γ = 90.00°. The distinct sites, in fractional coordinates, are Li at (0.0000, 0.0000, 0.0000), Cu at (0.0000, 0.5000, 0.5000) and N at (0.5000, 0.5000, 0.5000).